{"formula": "MnCrFe", "functional": "PBE", "state": "relaxed", "relative_energy_ev_per_atom": 0.028, "energy_ev_per_atom": -8.9951, "mass_density_g_cm3": 7.94, "space_group": "Fmm2", "cell": [[-2.996, 0.105, -5.549], [-1.120, -1.447, -5.869], [-2.061, -1.285, 0.366]], "species": ["Mn", "Cr", "Fe"], "frac_coords": [[0.665, 0.665, 0.335], [0.001, 0.001, 0.999], [0.334, 0.334, 0.666]]}

=====

{"formula": "Y4ErCo", "functional": "PBE", "state": "relaxed", "energy_ev_per_atom": -6.2808, "mass_density_g_cm3": 5.62, "space_group": "C2/m", "cell": [[5.814, 0.000, -0.488], [0.000, 7.309, 0.000], [-2.233, -3.654, 8.282]], "species": ["Y", "Y", "Y", "Y", "Y", "Y", "Y", "Y", "Er", "Er", "Co", "Co"], "frac_coords": [[0.000, 0.230, 0.000], [0.824, 0.325, 0.649], [0.380, 0.633, 0.761], [0.176, 0.675, 0.351], [0.620, 0.367, 0.239], [0.000, 0.770, 0.000], [0.620, 0.873, 0.239], [0.380, 0.127, 0.761], [0.196, 0.196, 0.392], [0.804, 0.804, 0.608], [0.691, 0.500, 0.999], [0.309, 0.500, 0.001]]}

=====

{"formula": "YMn2P", "functional": "PBE", "state": "relaxed", "energy_ev_per_atom": -7.8418, "mass_density_g_cm3": 5.50, "space_group": "Pm", "cell": [[3.835, 0.000, 0.000], [0.000, 3.475, -0.030], [0.000, 1.243, 5.197]], "species": ["P", "Mn", "Mn", "Y"], "frac_coords": [[0.000, 0.355, 0.451], [0.500, 0.413, 0.212], [0.000, 0.958, 0.146], [0.500, 0.773, 0.691]]}

=====

{"formula": "PaCrRe", "functional": "PBE", "state": "relaxed", "relative_energy_ev_per_atom": 0.000, "energy_ev_per_atom": -10.5773, "mass_density_g_cm3": 14.86, "space_group": "Imma", "cell": [[-2.236, 4.648, 0.291], [-2.840, -3.820, 2.007], [4.342, -0.269, 2.785]], "species": ["Pa", "Pa", "Cr", "Cr", "Re", "Re"], "frac_coords": [[0.250, 0.117, 0.867], [0.750, 0.883, 0.133], [0.500, 0.000, 0.500], [0.000, 0.500, 0.500], [0.000, 0.500, 0.000], [0.500, 0.500, 0.500]]}

=====

Number 1: energy of formation from the pure elements 90.1 meV per atom, D(E_F) 1.40 states/eV per atom, volume 34.1 Å³/f.u.. Number 2: energy of formation from the pure elements -26.7 meV per atom, D(E_F) 1.49 states/eV per atom, volume 172.0 Å³/f.u.. Number 3: energy of formation from the pure elements -288.5 meV per atom, D(E_F) 0.94 states/eV per atom, volume 69.4 Å³/f.u.. Number 4: energy of formation from the pure elements -54.8 meV per atom, D(E_F) 1.15 states/eV per atom, volume 52.4 Å³/f.u..